# DyGaAu2, relaxed, DFT PBE
data_DyGaAu2
_cell_length_a 3.637
_cell_length_b 3.637
_cell_length_c 6.300
_cell_angle_alpha 90.00
_cell_angle_beta 90.00
_cell_angle_gamma 90.00
_space_group_name_H-M_alt 'P 1'
_space_group_IT_number 1
_space_group_name_Hall 'P 1'
loop_
_atom_site_label
_atom_site_type_symbol
_atom_site_fract_x
_atom_site_fract_y
_atom_site_fract_z
_atom_site_occupancy
Dy1 Dy 0.000 0.000 0.000 1
Ga1 Ga 0.000 0.000 0.500 1
Au1 Au 0.500 0.500 0.257 1
Au2 Au 0.500 0.500 0.743 1
# DFT formation energy ... -54.5 kJ/mol of atoms
# Symmetry ... No. 123
# Total magnetic moment ... 0.000 μB per formula unit



# CrRhC, relaxed, DFT PBE
data_CrRhC
_cell_length_a 2.733
_cell_length_b 4.526
_cell_length_c 5.069
_cell_angle_alpha 90.00
_cell_angle_beta 90.00
_cell_angle_gamma 90.00
_space_group_name_H-M_alt 'P 1'
_space_group_IT_number 1
_space_group_name_Hall 'P 1'
loop_
_atom_site_label
_atom_site_type_symbol
_atom_site_fract_x
_atom_site_fract_y
_atom_site_fract_z
_atom_site_occupancy
Cr1 Cr 0.000 0.085 0.000 1
Cr2 Cr 0.000 0.915 0.500 1
Rh1 Rh 0.500 0.403 0.357 1
Rh2 Rh 0.500 0.597 0.857 1
C1 C 0.500 0.160 0.717 1
C2 C 0.500 0.840 0.217 1
# DFT formation energy ... 6.3 kJ/mol of atoms
# Symmetry ... No. 26
# Total magnetic moment ... 0.000 μB per formula unit
# Energy above the lowest structure with this stoichiometry ... 0.0 meV per atom